# 1
The following is a GGA-PBE calculation of a relaxed Mg2TePb crystal, from Alexandria.

## Properties
* polymorph energy (0 for the lowest one): 0.49 eV/f.u.
* E_form (uncorrected): -0.213 eV per atom
* total DFT energy (no corrections): -2.723 eV/atom

Lattice parameters (Å, degrees): 3.820 3.840 8.087 61.63 90.00 90.00
Sites, in units of the cell vectors:
Te 0.500 0.750 0.750
Pb 0.500 0.250 0.250
Mg 0.000 0.479 0.521
Mg 0.000 0.021 0.979

# 2
The following is a GGA-PBE calculation of a relaxed MgTe2Pb crystal, from Alexandria.

## Properties
* E_form (uncorrected): 0.038 eV per atom
* total DFT energy (no corrections): -2.859 eV/atom

Lattice parameters (Å, degrees): 5.458 5.458 5.458 60.00 60.00 60.00
Sites, in units of the cell vectors:
Mg 0.500 0.500 0.500
Te 0.250 0.250 0.250
Te 0.000 0.000 0.000
Pb 0.750 0.750 0.750

# 3
The following is a GGA-PBE calculation of a relaxed MgTePb3 crystal, from Alexandria.

## Properties
* polymorph energy (0 for the lowest one): 0.00 eV/f.u.
* E_form (uncorrected): 0.289 eV per atom
* total DFT energy (no corrections): -2.883 eV/atom

Lattice parameters (Å, degrees): 5.551 5.551 5.551 90.00 90.00 90.00
Sites, in units of the cell vectors:
Pb 0.000 0.500 0.000
Pb 0.000 0.000 0.500
Pb 0.500 0.000 0.000
Te 0.500 0.500 0.500
Mg 0.000 0.000 0.000

# 4
The following is a GGA-PBE calculation of a relaxed Mg2TePb crystal, from Alexandria.

## Properties
* polymorph energy (0 for the lowest one): 1.20 eV/f.u.
* E_form (uncorrected): -0.035 eV per atom
* total DFT energy (no corrections): -2.545 eV/atom

Lattice parameters (Å, degrees): 10.888 10.888 10.888 18.38 18.38 18.38
Sites, in units of the cell vectors:
Pb 0.493 0.493 0.493
Te 0.266 0.266 0.266
Mg 0.744 0.744 0.744
Mg 0.998 0.998 0.998

Question: Which of these has the highest total DFT energy (no corrections)?
Answer: number 4

Question: Number 2 is which compound?
Answer: MgTe2Pb

Question: What is the formula in the second record?
Answer: MgTe2Pb